1.
The following is a DFT calculation (PBE-GGA) of a relaxed structure of La2Tb5PrNd.

Results
The energy relative to the elements comes out at 22.8 kJ per mole of atoms. Its total energy is -4.491 eV/atom.

Cell: 8.7598 8.7598 10.0897 Å, 115.73 115.73 90.00°
With the nearest neighbours (Å) after each atom.
Fractional coordinates of all 18 atoms:
Tb 0.5731 0.6477 0.7209  1 La 3.06, 1 Nd 3.17
Tb 0.8523 0.9269 0.2791  1 La 3.06, 1 Nd 3.17
Tb 0.1477 0.0731 0.7209  1 La 3.06, 1 Nd 3.17
Tb 0.0731 0.5731 0.7209  1 La 3.06, 1 Nd 3.17
Tb 0.5000 0.5000 0.0000  4 La 3.50, 8 Tb 3.84
Tb 0.9269 0.4269 0.2791  1 La 3.06, 1 Nd 3.17
Tb 0.3523 0.8523 0.2791  1 La 3.06, 1 Nd 3.17
Tb 0.4269 0.3523 0.2791  1 La 3.06, 1 Nd 3.17
Tb 0.6477 0.1477 0.7209  1 La 3.06, 1 Nd 3.17
Tb 0.0000 0.0000 0.0000  4 La 3.50, 8 Tb 3.84
Nd 0.7500 0.2500 0.5000  4 Tb 3.17
Nd 0.2500 0.7500 0.5000  4 Tb 3.17
La 0.3821 0.8821 0.0000  1 La 2.92, 2 Tb 3.06
La 0.8821 0.6179 0.0000  1 La 2.92, 2 Tb 3.06
La 0.6179 0.1179 0.0000  1 La 2.92, 2 Tb 3.06
La 0.1179 0.3821 0.0000  1 La 2.92, 2 Tb 3.06
Pr 0.7500 0.7500 0.5000  10 Tb 3.59-3.98
Pr 0.2500 0.2500 0.5000  10 Tb 3.59-3.98

---

2.
The following is a DFT calculation (PBE-GGA) of a relaxed structure of AlCdAu2.

Results
The energy relative to the elements comes out at -19.8 kJ per mole of atoms. The calculation puts the energy above the most stable polymorph in this dataset at 6.0 kJ/mol of atoms. Its total energy is -3.008 eV/atom.

Cell: 4.5815 3.0978 5.1492 Å, 89.94 90.00 90.00°
With the nearest neighbours (Å) after each atom.
Fractional coordinates of all 4 atoms:
Au 0.5000 0.1242 0.2946  2 Al 2.77, 4 Cd 2.86, 4 Au 3.00-3.10
Au 0.0000 0.1252 0.9188  4 Al 2.79, 4 Cd 2.92-3.09, 4 Au 3.00-3.10
Cd 0.0000 0.6246 0.4379  8 Au 2.86-3.09, 2 Cd 3.10, 2 Al 3.12
Al 0.5000 0.6260 0.8487  6 Au 2.77-2.79, 2 Al 3.10

---

3.
The following is a DFT calculation (PBE-GGA) of a relaxed structure of CaGd2Ni.

Results
The energy relative to the elements comes out at -0.2 kJ per mole of atoms. The calculation puts the energy above the most stable polymorph in this dataset at 12.1 kJ/mol of atoms. Its total energy is -8.988 eV/atom.

Cell: 3.8079 3.8079 10.6855 Å, 79.74 79.74 60.00°
With the nearest neighbours (Å) after each atom.
Fractional coordinates of all 4 atoms:
Gd 0.8842 0.8842 0.3474  3 Ni 2.72
Gd 0.1158 0.1158 0.6526  3 Ni 2.72
Ni 0.5000 0.5000 0.5000  6 Gd 2.72
Ca 0.0000 0.0000 0.0000  2 Gd 3.63, 6 Ca 3.81

---

4.
The following is a DFT calculation (PBE-GGA) of a relaxed structure of NiSbTe2Os.

Results
The calculation puts the energy above the most stable polymorph in this dataset at 0.0 kJ/mol of atoms. Its total energy is -4.358 eV/atom. The formation energy without anion corrections comes out at 108.61 kJ per mole of atoms.

Cell: 4.9022 4.9022 4.7537 Å, 90.00 90.00 90.00°
With the nearest neighbours (Å) after each atom.
Fractional coordinates of all 5 atoms:
Ni 0.0000 0.0000 0.0000  2 Sb 2.38, 4 Te 2.45
Te 0.0000 0.5000 0.0000  2 Ni 2.45
Te 0.5000 0.0000 0.0000  2 Ni 2.45
Os 0.5000 0.5000 0.5000  8 Te 3.41, 4 Sb 3.47
Sb 0.0000 0.0000 0.5000  2 Ni 2.38

---

5.
The following is a DFT calculation (PBE-GGA) of a relaxed structure of Rb2Ca3TbCl12.

Results
Its total energy is -3.981 eV/atom. The formation energy without anion corrections comes out at -197.95 kJ per mole of atoms.

Cell: 10.0555 10.0555 10.0555 Å, 57.76 57.76 57.76°
With the nearest neighbours (Å) after each atom.
Fractional coordinates of all 18 atoms:
Ca 0.0000 0.5000 0.0000  6 Cl 2.74-2.76
Ca 0.0000 0.0000 0.5000  6 Cl 2.74-2.76
Ca 0.5000 0.0000 0.0000  6 Cl 2.74-2.76
Cl 0.9088 0.3408 0.3408  2 Ca 2.74
Cl 0.0719 0.0719 0.6791  1 Tb 2.65, 1 Ca 2.76
Cl 0.6592 0.6592 0.0912  2 Ca 2.74
Cl 0.3408 0.3408 0.9088  2 Ca 2.74
Cl 0.0719 0.6791 0.0719  1 Tb 2.65, 1 Ca 2.76
Cl 0.9281 0.9281 0.3209  1 Tb 2.65, 1 Ca 2.76
Cl 0.6592 0.0912 0.6592  2 Ca 2.74
Cl 0.0912 0.6592 0.6592  2 Ca 2.74
Cl 0.3408 0.9088 0.3408  2 Ca 2.74
Cl 0.6791 0.0719 0.0719  1 Tb 2.65, 1 Ca 2.76
Cl 0.9281 0.3209 0.9281  1 Tb 2.65, 1 Ca 2.76
Cl 0.3209 0.9281 0.9281  1 Tb 2.65, 1 Ca 2.76
Rb 0.4089 0.4089 0.4089  3 Cl 3.53
Rb 0.5911 0.5911 0.5911  3 Cl 3.53
Tb 0.0000 0.0000 0.0000  6 Cl 2.65

---

6.
The following is a DFT calculation (PBE-GGA) of a relaxed structure of Cs2RbZnAu.

Results
The energy relative to the elements comes out at -3.7 kJ per mole of atoms. The calculation puts the energy above the most stable polymorph in this dataset at 0.0 kJ/mol of atoms. Its total energy is -1.484 eV/atom.

Cell: 7.2166 7.2166 5.2398 Å, 90.00 90.00 90.00°
With the nearest neighbours (Å) after each atom.
Fractional coordinates of all 5 atoms:
Cs 0.5000 0.0000 0.0000  2 Au 3.61
Cs 0.0000 0.5000 0.0000  2 Au 3.61
Zn 0.0000 0.0000 0.5000  2 Au 2.62
Rb 0.5000 0.5000 0.5000  8 Cs 4.46
Au 0.0000 0.0000 0.0000  2 Zn 2.62

---

7.
The following is a DFT calculation (PBE-GGA) of a relaxed structure of DyAlGa.

Results
The energy relative to the elements comes out at -39.1 kJ per mole of atoms. Its total energy is -4.195 eV/atom.

Cell: 5.2962 5.9179 4.8204 Å, 90.00 123.32 90.00°
With the nearest neighbours (Å) after each atom.
Fractional coordinates of all 6 atoms:
Ga 0.3001 0.2500 0.6003  2 Al 2.83, 5 Dy 2.88-2.98
Ga 0.6999 0.7500 0.3997  2 Al 2.83, 5 Dy 2.88-2.98
Al 0.0000 0.0000 0.0000  2 Ga 2.83, 2 Al 2.96, 2 Dy 3.13
Al 0.0000 0.5000 0.0000  2 Ga 2.83, 2 Al 2.96, 2 Dy 3.13
Dy 0.6571 0.2500 0.3141  5 Ga 2.88-2.98, 2 Al 3.13
Dy 0.3429 0.7500 0.6859  5 Ga 2.88-2.98, 2 Al 3.13

---

8.
The following is a DFT calculation (PBE-GGA) of a relaxed structure of CaTiCuP3O12.

Results
Its total energy is -7.225 eV/atom. The formation energy without anion corrections comes out at -216.13 kJ per mole of atoms.

Cell: 8.8176 8.8176 8.8176 Å, 58.61 58.61 58.61°
With the nearest neighbours (Å) after each atom.
Fractional coordinates of all 36 atoms:
O 0.2743 0.9238 0.0524  1 P 1.56
O 0.2274 0.4363 0.5827  1 P 1.54
O 0.4238 0.7743 0.5524  1 P 1.56
O 0.2064 0.9999 0.3707  1 P 1.56
O 0.2859 0.1242 0.5197  1 P 1.53
O 0.7064 0.8707 0.4999  1 P 1.56
O 0.0827 0.9363 0.7274  1 P 1.54
O 0.9238 0.0524 0.2743  1 P 1.56
O 0.3707 0.2064 0.9999  1 P 1.56
O 0.9999 0.3707 0.2064  1 P 1.56
O 0.8707 0.4999 0.7064  1 P 1.56
O 0.7743 0.5524 0.4238  1 P 1.56
O 0.0197 0.6242 0.7859  1 P 1.53
O 0.4363 0.5827 0.2274  1 P 1.54
O 0.4999 0.7064 0.8707  1 P 1.56
O 0.5197 0.2859 0.1242  1 P 1.53
O 0.1242 0.5197 0.2859  1 P 1.53
O 0.7859 0.0197 0.6242  1 P 1.53
O 0.6242 0.7859 0.0197  1 P 1.53
O 0.7274 0.0827 0.9363  1 P 1.54
O 0.9363 0.7274 0.0827  1 P 1.54
O 0.0524 0.2743 0.9238  1 P 1.56
O 0.5524 0.4238 0.7743  1 P 1.56
O 0.5827 0.2274 0.4363  1 P 1.54
P 0.0398 0.4616 0.7501  4 O 1.53-1.56
P 0.7501 0.0398 0.4616  4 O 1.53-1.56
P 0.4616 0.7501 0.0398  4 O 1.53-1.56
P 0.2501 0.9616 0.5399  4 O 1.53-1.56
P 0.9616 0.5399 0.2501  4 O 1.53-1.56
P 0.5399 0.2501 0.9616  4 O 1.53-1.56
Cu 0.3520 0.3520 0.3520  6 O 1.95-2.07
Cu 0.8520 0.8520 0.8520  6 O 1.95-2.07
Ca 0.9966 0.9966 0.9966  6 O 2.35-2.44
Ca 0.4966 0.4966 0.4966  6 O 2.35-2.44
Ti 0.1460 0.1460 0.1460  6 O 1.90-2.05
Ti 0.6460 0.6460 0.6460  6 O 1.90-2.05

---

9.
The following is a DFT calculation (PBE-GGA) of a relaxed structure of Nd2Tm4Sn3O2.

Results
Its total energy is -6.030 eV/atom. The formation energy without anion corrections comes out at -149.00 kJ per mole of atoms.

Cell: 4.6089 4.6089 13.0689 Å, 100.16 100.16 90.00°
With the nearest neighbours (Å) after each atom.
Fractional coordinates of all 11 atoms:
O 0.4095 0.4095 0.8191  4 Tm 2.32
O 0.5905 0.5905 0.1809  4 Tm 2.32
Sn 0.8265 0.8265 0.6531  4 Tm 3.27, 5 Nd 3.31-3.32
Sn 0.0000 0.0000 0.0000  8 Tm 3.10
Sn 0.1735 0.1735 0.3469  4 Tm 3.27, 5 Nd 3.31-3.32
Tm 0.4183 0.9183 0.8367  2 O 2.32
Tm 0.0817 0.5817 0.1633  2 O 2.32
Tm 0.5817 0.0817 0.1633  2 O 2.32
Tm 0.9183 0.4183 0.8367  2 O 2.32
Nd 0.6954 0.6954 0.3908  1 O 2.66
Nd 0.3046 0.3046 0.6092  1 O 2.66

---

10.
The following is a DFT calculation (PBE-GGA) of a relaxed structure of P3IrC.

Results
The energy relative to the elements comes out at 90.9 kJ per mole of atoms. The calculation puts the energy above the most stable polymorph in this dataset at 0.0 kJ/mol of atoms. Its total energy is -5.921 eV/atom.

Cell: 3.9299 3.9299 3.9299 Å, 90.00 90.00 90.00°
With the nearest neighbours (Å) after each atom.
Fractional coordinates of all 5 atoms:
Ir 0.5000 0.5000 0.5000  12 P 2.78
P 0.0000 0.0000 0.5000  2 C 1.96
P 0.5000 0.0000 0.0000  2 C 1.96
P 0.0000 0.5000 0.0000  2 C 1.96
C 0.0000 0.0000 0.0000  6 P 1.96

---

11.
The following is a DFT calculation (PBE-GGA) of a relaxed structure of InIr5.

Results
The energy relative to the elements comes out at 8.0 kJ per mole of atoms. Its total energy is -7.758 eV/atom.

Cell: 2.8011 2.8011 11.7582 Å, 90.00 90.00 90.00°
With the nearest neighbours (Å) after each atom.
Fractional coordinates of all 6 atoms:
Ir 0.5000 0.5000 0.6622  12 Ir 2.72-2.80
Ir 0.0000 0.0000 0.1793  8 Ir 2.72-2.80, 4 In 2.89
Ir 0.0000 0.0000 0.8207  8 Ir 2.72-2.80, 4 In 2.89
Ir 0.0000 0.0000 0.5000  12 Ir 2.75-2.80
Ir 0.5000 0.5000 0.3378  12 Ir 2.72-2.80
In 0.5000 0.5000 0.0000  4 In 2.80, 8 Ir 2.89

---

12.
The following is a DFT calculation (PBE-GGA) of a relaxed structure of Tl3ReOs.

Results
The energy relative to the elements comes out at 159.5 kJ per mole of atoms. The calculation puts the energy above the most stable polymorph in this dataset at 0.0 kJ/mol of atoms. Its total energy is -4.502 eV/atom.

Cell: 5.2872 5.2872 5.2872 Å, 90.00 90.00 90.00°
With the nearest neighbours (Å) after each atom.
Fractional coordinates of all 5 atoms:
Tl 0.0000 0.0000 0.5000  2 Os 2.64
Tl 0.5000 0.0000 0.0000  2 Os 2.64
Tl 0.0000 0.5000 0.0000  2 Os 2.64
Os 0.0000 0.0000 0.0000  6 Tl 2.64
Re 0.5000 0.5000 0.5000  12 Tl 3.74